# 1
First-principles (PBE) data for a relaxed structure of InBiTeSe, as listed in Alexandria.

The structure belongs to space group Cm (No. 8); the cell edges are 7.079, 4.089 and 9.122 Å and the angles 90.00°, 104.90° and 90.00°. Symmetry generates all atoms from In at (0.000, 0.000, 0.000), Bi at (0.233, 0.000, 0.705), Te at (0.327, 0.500, 0.485) and Se at (0.385, 0.000, 0.157).

The uncorrected formation energy comes out at -0.18 eV per atom. The value obtained for the density of states at the Fermi level is 0.296 states/eV per atom. The total energy comes out at -3.49 eV per atom.

# 2
First-principles (PBE) data for a relaxed structure of NaTbSn2Br8, as listed in Alexandria.

The structure belongs to space group P2/m (No. 10); the cell edges are 6.784, 8.756 and 7.162 Å and the angles 90.00°, 91.20° and 90.00°. Symmetry generates all atoms from Na at (0.000, 0.000, 0.000), Tb at (0.000, 0.500, 0.000), Sn at (0.500, 0.245, 0.500), Br at (0.234, 0.262, 0.155), Br at (0.237, 0.500, 0.679) and Br at (0.271, 0.000, 0.655).

The uncorrected formation energy comes out at -1.25 eV per atom. The value obtained for the density of states at the Fermi level is 0.000 states/eV per atom. The total energy comes out at -3.53 eV per atom.

# 3
First-principles (PBE) data for a relaxed structure of FeTcW2, as listed in Alexandria.

The structure belongs to space group P2/m (No. 10); the cell edges are 2.688, 4.343 and 5.167 Å and the angles 90.00°, 100.16° and 90.00°. Symmetry generates all atoms from Fe at (0.000, 0.000, 0.000), Tc at (0.500, 0.000, 0.500) and W at (0.250, 0.500, 0.754).

As for the formation energy: 0.5 eV per formula unit. The value obtained for the density of states at the Fermi level is 0.816 states/eV per atom. The total energy comes out at -11.06 eV per atom.

# 4
First-principles (PBE) data for a relaxed structure of LaLuCdIr, as listed in Alexandria.

The structure belongs to space group F-43m (No. 216); the cell edges are 7.249, 7.249 and 7.249 Å and the angles 90.00°, 90.00° and 90.00°. Symmetry generates all atoms from La at (0.000, 0.000, 0.000), Lu at (0.000, 0.000, 0.500), Cd at (0.250, 0.250, 0.750) and Ir at (0.250, 0.250, 0.250).

As for the formation energy: -1.9 eV per formula unit. The value obtained for the density of states at the Fermi level is 0.606 states/eV per atom. The total energy comes out at -5.28 eV per atom.

# 5
First-principles (PBE) data for a relaxed structure of EuBN2, as listed in Alexandria.

The structure belongs to space group R-3c (No. 167, hexagonal axes); the cell edges are 12.0354, 12.0354 and 7.0130 Å and the angles 90.00°, 90.00° and 120.00°. Symmetry generates all atoms from Eu at (0.0000, 0.4499, 0.2500), B at (0.0000, 0.1212, 0.2500), N at (0.0000, 0.1231, 0.7500) and N at (0.0000, 0.2429, 0.2500).

The uncorrected formation energy comes out at -1.05 eV per atom. The value obtained for the density of states at the Fermi level is 0.611 states/eV per atom. The total energy comes out at -9.45 eV per atom.

# 6
First-principles (PBE) data for a relaxed structure of ScSiC, as listed in Alexandria.

The structure belongs to space group P4/mmm (No. 123); the cell edges are 3.287, 3.287 and 3.735 Å and the angles 90.00°, 90.00° and 90.00°. Symmetry generates all atoms from Sc at (0.000, 0.000, 0.000), Si at (0.500, 0.500, 0.500) and C at (0.500, 0.500, 0.000).

The uncorrected formation energy comes out at -0.24 eV per atom. The value obtained for the density of states at the Fermi level is 0.474 states/eV per atom. The total energy comes out at -7.23 eV per atom.

# 7
First-principles (PBE) data for a relaxed structure of KRb2Au2, as listed in Alexandria.

The structure belongs to space group P4/mbm (No. 127); the cell edges are 9.446, 9.446 and 4.596 Å and the angles 90.00°, 90.00° and 90.00°. Symmetry generates all atoms from K at (0.000, 0.000, 0.000), Rb at (0.143, 0.357, 0.500) and Au at (0.155, 0.655, 0.000).

As for the formation energy: -1.2 eV per formula unit. The value obtained for the density of states at the Fermi level is 0.535 states/eV per atom. The total energy comes out at -2.16 eV per atom.

# 8
First-principles (PBE) data for a relaxed structure of LiTl3Hg5, as listed in Alexandria.

The structure belongs to space group P-62m (No. 189); the cell edges are 8.9374, 8.9374 and 3.4423 Å and the angles 90.00°, 90.00° and 120.00°. Symmetry generates all atoms from Li at (0.0000, 0.0000, 0.0000), Tl at (0.0000, 0.6175, 0.0000), Hg at (0.0000, 0.2631, 0.5000) and Hg at (0.3333, 0.6667, 0.5000).

As for the formation energy: -0.7 eV per formula unit. The value obtained for the density of states at the Fermi level is 0.271 states/eV per atom. The total energy comes out at -1.25 eV per atom.